1.
# PtAu2Br PBE relaxed
data_PtAu2Br
_space_group_name_H-M_alt 'C 1 m 1'
_space_group_IT_number 8
_cell_length_a 9.1975
_cell_length_b 3.1559
_cell_length_c 6.7507
_cell_angle_alpha 90.00
_cell_angle_beta 98.84
_cell_angle_gamma 90.00
loop_
_space_group_symop_operation_xyz
'x,y,z'
'x,-y,z'
'x+1/2,y+1/2,z'
'x+1/2,-y+1/2,z'
loop_
_atom_site_label
_atom_site_type_symbol
_atom_site_fract_x
_atom_site_fract_y
_atom_site_fract_z
Pt1 Pt 0.0000 0.0000 0.0000
Au1 Au 0.2362 0.5000 0.1589
Au2 Au 0.4809 0.0000 0.3362
Br1 Br 0.4128 0.0000 0.7027
# offset from the most stable computed form = 6 meV/atom
# calculated volume = 193.6 Å³/cell

=====

2.
# PtAu2Br PBE relaxed
data_PtAu2Br
_space_group_name_H-M_alt 'P 4 m m'
_space_group_IT_number 99
_cell_length_a 3.3603
_cell_length_b 3.3603
_cell_length_c 6.9816
_cell_angle_alpha 90.00
_cell_angle_beta 90.00
_cell_angle_gamma 90.00
loop_
_space_group_symop_operation_xyz
'x,y,z'
'-y,x,z'
'-x,-y,z'
'y,-x,z'
'-x,y,z'
'y,x,z'
'x,-y,z'
'-y,-x,z'
loop_
_atom_site_label
_atom_site_type_symbol
_atom_site_fract_x
_atom_site_fract_y
_atom_site_fract_z
Pt1 Pt 0.0000 0.0000 0.0000
Au1 Au 0.0000 0.0000 0.4304
Au2 Au 0.5000 0.5000 0.2064
Br1 Br 0.5000 0.5000 0.7374
# offset from the most stable computed form = 156 meV/atom
# calculated volume = 78.8 Å³/cell

=====

3.
# PtAuBr4 PBE relaxed
data_PtAuBr4
_space_group_name_H-M_alt 'C 1 2/c 1'
_space_group_IT_number 15
_cell_length_a 5.7969
_cell_length_b 12.3144
_cell_length_c 11.5080
_cell_angle_alpha 90.00
_cell_angle_beta 96.76
_cell_angle_gamma 90.00
loop_
_space_group_symop_operation_xyz
'x,y,z'
'-x,-y,-z'
'-x,y,-z+1/2'
'x,-y,z+1/2'
'x+1/2,y+1/2,z'
'-x+1/2,-y+1/2,-z'
'-x+1/2,y+1/2,-z+1/2'
'x+1/2,-y+1/2,z+1/2'
loop_
_atom_site_label
_atom_site_type_symbol
_atom_site_fract_x
_atom_site_fract_y
_atom_site_fract_z
Pt1 Pt 0.0000 0.0540 0.2500
Au1 Au 0.2500 0.2500 0.5000
Br1 Br 0.1261 0.1944 0.1183
Br2 Br 0.2304 0.0785 0.6564
# offset from the most stable computed form = 0 meV/atom
# calculated volume = 815.8 Å³/cell

=====

4.
# PtAu3Br PBE relaxed
data_PtAu3Br
_space_group_name_H-M_alt 'P m -3 m'
_space_group_IT_number 221
_space_group_name_Hall '-P 4 2 3'
_cell_length_a 5.0054
_cell_length_b 5.0054
_cell_length_c 5.0054
_cell_angle_alpha 90.00
_cell_angle_beta 90.00
_cell_angle_gamma 90.00
loop_
_atom_site_label
_atom_site_type_symbol
_atom_site_fract_x
_atom_site_fract_y
_atom_site_fract_z
Pt1 Pt 0.0000 0.0000 0.0000
Au1 Au 0.0000 0.5000 0.5000
Br1 Br 0.5000 0.5000 0.5000
# offset from the most stable computed form = 534 meV/atom
# calculated volume = 125.4 Å³/cell